Entry i
Ac3Pd: relaxed, PBE-GGA.

Cell lengths 4.159, 9.377, 8.122 Å; angles 90.00, 90.00, 102.81 degrees
Element x y z (fractional)
Ac (0.494, 0.987, 0.250)
Ac (0.845, 0.690, 0.500)
Ac (0.155, 0.310, 0.000)
Pd (0.289, 0.578, 0.250)
Ac (0.845, 0.690, 0.000)
Ac (0.155, 0.310, 0.500)
Pd (0.711, 0.422, 0.750)
Ac (0.506, 0.013, 0.750)

Values from the calculation:
Space-group type   No. 63

---

Entry ii
Ac3Pd: relaxed, PBE-GGA.

Cell lengths 5.810, 5.810, 5.810 Å; angles 60.00, 60.00, 60.00 degrees
Element x y z (fractional)
Ac (0.750, 0.750, 0.750)
Pd (0.500, 0.500, 0.500)
Ac (0.250, 0.250, 0.250)
Ac (0.000, 0.000, 0.000)

Values from the calculation:
Space-group type   No. 225

---

Most stable: entry i. Least stable: entry ii.

---

Entry i
Ac3Pd: relaxed, PBE-GGA.

Cell lengths 4.037, 6.628, 6.853 Å; angles 118.92, 107.13, 90.00 degrees
Element x y z (fractional)
Pd (0.000, 0.038, 0.000)
Ac (0.691, 0.063, 0.383)
Ac (0.309, 0.681, 0.617)
Ac (0.500, 0.384, 0.000)

Values from the calculation:
Space-group type   No. 44

---

Entry ii
Ac3Pd: relaxed, PBE-GGA.

Cell lengths 5.212, 5.212, 5.212 Å; angles 90.00, 90.00, 90.00 degrees
Element x y z (fractional)
Ac (0.000, 0.500, 0.500)
Ac (0.500, 0.500, 0.000)
Ac (0.500, 0.000, 0.500)
Pd (0.000, 0.000, 0.000)

Values from the calculation:
Space-group type   No. 221

---

Entry iii
Ac3Pd: relaxed, PBE-GGA.

Cell lengths 4.952, 4.952, 6.709 Å; angles 111.66, 111.66, 90.00 degrees
Element x y z (fractional)
Pd (0.000, 0.000, 0.000)
Ac (0.500, 0.500, 0.000)
Ac (0.250, 0.750, 0.500)
Ac (0.750, 0.250, 0.500)

Values from the calculation:
Space-group type   No. 139

---

Entry iv
Ac3Pd: relaxed, PBE-GGA.

Cell lengths 4.005, 3.991, 9.978 Å; angles 90.00, 90.00, 90.00 degrees
Element x y z (fractional)
Ac (0.500, 0.000, 0.754)
Ac (0.000, 0.500, 0.469)
Ac (0.500, 0.500, 0.120)
Pd (0.000, 0.000, 0.991)

Values from the calculation:
Space-group type   No. 25

---

Most stable: entry i. Least stable: entry ii.

---

Entry i
Ac3Pd2: relaxed, PBE-GGA.

Cell lengths 7.587, 7.585, 8.200 Å; angles 62.46, 62.47, 60.06 degrees
Element x y z (fractional)
Ac (0.250, 0.608, 0.750)
Pd (0.822, 0.822, 0.035)
Pd (0.678, 0.678, 0.465)
Ac (0.892, 0.250, 0.749)
Ac (0.608, 0.892, 0.750)
Ac (0.750, 0.392, 0.250)
Pd (0.322, 0.322, 0.535)
Ac (0.392, 0.108, 0.250)
Pd (0.178, 0.178, 0.965)
Ac (0.108, 0.750, 0.251)

Values from the calculation:
Space-group type   No. 15

---

Entry ii
Ac3Pd2: relaxed, PBE-GGA.

Cell lengths 4.231, 14.097, 11.321 Å; angles 90.00, 90.00, 90.00 degrees
Element x y z (fractional)
Pd (0.750, 0.005, 0.201)
Ac (0.750, 0.406, 0.112)
Ac (0.250, 0.335, 0.766)
Ac (0.750, 0.117, 0.958)
Pd (0.250, 0.995, 0.799)
Pd (0.250, 0.505, 0.299)
Pd (0.750, 0.495, 0.701)
Pd (0.750, 0.734, 0.974)
Pd (0.750, 0.766, 0.474)
Ac (0.750, 0.665, 0.234)
Ac (0.250, 0.883, 0.042)
Ac (0.750, 0.835, 0.734)
Ac (0.750, 0.383, 0.458)
Pd (0.250, 0.234, 0.526)
Ac (0.250, 0.906, 0.388)
Ac (0.250, 0.617, 0.542)
Ac (0.250, 0.165, 0.266)
Ac (0.750, 0.094, 0.612)
Pd (0.250, 0.266, 0.026)
Ac (0.250, 0.594, 0.888)

Values from the calculation:
Space-group type   No. 62

---

Most stable: entry ii. Least stable: entry i.

---

Entry i
AcPmPd: relaxed, PBE-GGA.

Cell lengths 4.483, 4.894, 4.894 Å; angles 120.00, 90.00, 90.00 degrees
Element x y z (fractional)
Pd (0.933, 0.000, 0.000)
Pm (0.773, 0.667, 0.333)
Ac (0.294, 0.333, 0.667)

Values from the calculation:
Space-group type   No. 156

---

Entry ii
AcPmPd: relaxed, PBE-GGA.

Cell lengths 5.185, 5.185, 5.185 Å; angles 60.00, 60.00, 60.00 degrees
Element x y z (fractional)
Pm (0.500, 0.500, 0.500)
Ac (0.000, 0.000, 0.000)
Pd (0.250, 0.250, 0.250)

Values from the calculation:
Space-group type   No. 216

---

Entry iii
AcPmPd: relaxed, PBE-GGA.

Cell lengths 6.388, 7.419, 8.472 Å; angles 93.90, 90.00, 90.00 degrees
Element x y z (fractional)
Ac (0.640, 0.809, 0.114)
Ac (0.860, 0.309, 0.614)
Pm (0.870, 0.306, 0.136)
Pd (0.135, 0.963, 0.136)
Ac (0.140, 0.691, 0.386)
Pd (0.365, 0.463, 0.636)
Pm (0.130, 0.694, 0.864)
Pm (0.630, 0.806, 0.636)
Pm (0.370, 0.194, 0.364)
Pd (0.635, 0.537, 0.364)
Ac (0.360, 0.191, 0.886)
Pd (0.865, 0.037, 0.864)

Values from the calculation:
Space-group type   No. 14

---

Most stable: entry iii. Least stable: entry ii.